No. 1
This record from the Alexandria database describes an optimized crystal structure of TbSc7In4. The functional is GGA-PBE.

Results
Symmetry: C2/m (12)
Crystal system: monoclinic
Formation energy from the elements: -6.94 kJ/mol of atoms
Spin magnetization: 0.0002 μB per atom

abc: 7.2943 7.2943 10.1873
angles: 121.91 121.91 42.57
With the nearest neighbours (Å) after each atom.
Fractional coordinates of all 12 atoms:
Tb: 0.0000 0.0000 0.0000  2 Sc 2.65
Sc: 0.0588 0.0588 0.3893  3 In 2.99-3.08, 1 Sc 3.13
Sc: 0.2162 0.2162 0.8734  4 In 3.06-3.12, 2 Sc 3.13-3.30
Sc: 0.2983 0.2983 0.3630  4 In 2.83-2.99
Sc: 0.5000 0.5000 0.0000  2 Tb 2.65, 4 In 2.85-2.95
Sc: 0.7017 0.7017 0.6370  4 In 2.83-2.99
Sc: 0.7838 0.7838 0.1267  4 In 3.06-3.12, 2 Sc 3.13-3.30
Sc: 0.9412 0.9412 0.6107  3 In 2.99-3.08, 1 Sc 3.13
In: 0.3149 0.3149 0.6680  6 Sc 2.85-3.06, 1 In 2.98
In: 0.4312 0.4312 0.2271  7 Sc 2.83-3.12, 1 In 2.98
In: 0.5688 0.5688 0.7729  7 Sc 2.83-3.12, 1 In 2.98
In: 0.6851 0.6851 0.3320  6 Sc 2.85-3.06, 1 In 2.98

=====

No. 2
This record from the Alexandria database describes an optimized crystal structure of Zn2HgIr. The functional is GGA-PBE.

Results
Symmetry: I-4m2 (119)
Crystal system: tetragonal
Formation energy from the elements: 5.77 kJ/mol of atoms
Spin magnetization: 0.0000 μB per atom

abc: 5.1143 5.1143 5.1143
angles: 135.94 135.94 64.07
With the nearest neighbours (Å) after each atom.
Fractional coordinates of all 4 atoms:
Zn: 0.0000 0.0000 0.0000  4 Ir 2.71, 4 Hg 2.89, 4 Zn 2.89
Zn: 0.7500 0.2500 0.5000  4 Hg 2.71, 4 Ir 2.89, 4 Zn 2.89
Hg: 0.2500 0.7500 0.5000  8 Zn 2.71-2.89, 4 Ir 2.89
Ir: 0.5000 0.5000 0.0000  8 Zn 2.71-2.89, 4 Hg 2.89

=====

No. 3
This record from the Alexandria database describes an optimized crystal structure of Ce6Ir2C. The functional is GGA-PBE.

Results
Symmetry: P2_1/c (14)
Crystal system: monoclinic
Formation energy from the elements: -39.86 kJ/mol of atoms
Spin magnetization: 0.4002 μB per atom

abc: 6.3418 7.1022 11.4325
angles: 90.00 121.24 90.00
With the nearest neighbours (Å) after each atom.
Fractional coordinates of all 18 atoms:
Ce: 0.1083 0.0366 0.2430  1 C 2.51, 1 Ir 2.78
Ce: 0.1083 0.4634 0.7430  1 C 2.51, 1 Ir 2.78
Ce: 0.2152 0.6834 0.0592  1 C 2.53
Ce: 0.2152 0.8166 0.5592  1 C 2.53
Ce: 0.3825 0.1718 0.0580  1 C 2.48
Ce: 0.3825 0.3282 0.5580  1 C 2.48
Ce: 0.6175 0.6718 0.4420  1 C 2.48
Ce: 0.6175 0.8282 0.9420  1 C 2.48
Ce: 0.7848 0.1834 0.4408  1 C 2.53
Ce: 0.7848 0.3166 0.9408  1 C 2.53
Ce: 0.8917 0.5366 0.2570  1 C 2.51, 1 Ir 2.78
Ce: 0.8917 0.9634 0.7570  1 C 2.51, 1 Ir 2.78
Ir: 0.3246 0.1168 0.7598  6 Ce 2.78-2.94
Ir: 0.3246 0.3832 0.2598  6 Ce 2.78-2.94
Ir: 0.6754 0.6168 0.7402  6 Ce 2.78-2.94
Ir: 0.6754 0.8832 0.2402  6 Ce 2.78-2.94
C: 0.0000 0.0000 0.0000  6 Ce 2.48-2.53
C: 0.0000 0.5000 0.5000  6 Ce 2.48-2.53

=====

No. 4
This record from the Alexandria database describes an optimized crystal structure of NbRuN2. The functional is GGA-PBE.

Results
Symmetry: R-3m (166)
Crystal system: trigonal
Spin magnetization: 0.4260 μB per atom
Energy relative to the lowest polymorph listed for this composition: 0.141 eV per atom

abc: 6.4992 6.4992 6.4992
angles: 27.35 27.35 27.35
With the nearest neighbours (Å) after each atom.
Fractional coordinates of all 4 atoms:
Nb: 0.0000 0.0000 0.0000  6 N 2.12
Ru: 0.5000 0.5000 0.5000  2 N 1.96
N: 0.3952 0.3952 0.3952  1 Ru 1.96, 3 Nb 2.12
N: 0.6048 0.6048 0.6048  1 Ru 1.96, 3 Nb 2.12

=====

no.,energy (Ha/atom)
1,-0.1861
2,-0.1054
3,-0.2706
4,-0.3331